## AcFe2RhO8 (GGA+U)

Data for a relaxed structure of AcFe2RhO8.

POSCAR file:
```
AcFe2RhO8
1.0
4.5865 0.0000 0.0000
1.2058 5.0744 0.0000
0.2509 0.3147 7.0628
Ac Fe Rh O
1 2 1 8
Direct
0.0000 0.0000 0.0000 Ac
0.4926 0.4914 0.2089 Fe
0.5074 0.5086 0.7911 Fe
0.0000 0.0000 0.5000 Rh
0.1525 0.7381 0.7082 O
0.1628 0.7389 0.3037 O
0.3816 0.1084 0.4944 O
0.3933 0.2892 0.0038 O
0.6067 0.7108 0.9962 O
0.6184 0.8916 0.5056 O
0.8372 0.2611 0.6963 O
0.8475 0.2619 0.2918 O
```

* calculated volume: 13.70 Å³/atom
* crystal system: triclinic
* raw total energy: -79.029 eV per formula unit
* symmetry: P-1 (2)